Entry 1:
Density functional theory data (GGA-PBE) for Pm2Nd2Mg3 after structural relaxation.

raw total energy: -47.8 eV for the cell shown
E_form: -0.013 eV per atom

Unit cell a=3.9232 b=28.4215 c=3.8166 alpha=90.00 beta=90.00 gamma=90.00
Positions (direct):
Pm 0.0000 0.2012 0.0000
Pm 0.0000 0.7988 0.0000
Pm 0.5000 0.2988 0.0000
Pm 0.5000 0.7012 0.0000
Nd 0.0000 0.0691 0.0000
Nd 0.0000 0.9309 0.0000
Nd 0.5000 0.4309 0.0000
Nd 0.5000 0.5691 0.0000
Mg 0.0000 0.3644 0.5000
Mg 0.0000 0.5000 0.5000
Mg 0.0000 0.6356 0.5000
Mg 0.5000 0.0000 0.5000
Mg 0.5000 0.1356 0.5000
Mg 0.5000 0.8644 0.5000

=====

Entry 2:
Density functional theory data (GGA-PBE) for Pm2Nd8Mg after structural relaxation.

raw total energy: -48.2 eV for the cell shown
energy relative to the lowest polymorph listed for this composition: 0 meV/atom
E_form: 0.098 eV per atom

Unit cell a=9.9110 b=9.9110 c=9.9110 alpha=146.58 beta=133.73 gamma=58.27
Positions (direct):
Pm 0.1950 0.1950 0.0000
Pm 0.8050 0.8050 0.0000
Nd 0.0849 0.3657 0.7192
Nd 0.2357 0.0000 0.2357
Nd 0.3257 0.8257 0.5000
Nd 0.3534 0.6343 0.7192
Nd 0.6466 0.3657 0.2808
Nd 0.6743 0.1743 0.5000
Nd 0.7643 0.0000 0.7643
Nd 0.9151 0.6343 0.2808
Mg 0.5000 0.5000 0.0000

=====

Entry 3:
Density functional theory data (GGA-PBE) for Pm2Nd15Mg2 after structural relaxation.

raw total energy: -78.2 eV for the cell shown
E_form: 0.316 eV per atom

Unit cell a=8.9450 b=8.9450 c=8.9450 alpha=79.18 beta=79.18 gamma=79.18
Positions (direct):
Pm 0.0895 0.0895 0.0895
Pm 0.9105 0.9105 0.9105
Nd 0.0000 0.0000 0.5000
Nd 0.0000 0.3030 0.6970
Nd 0.0000 0.5000 0.0000
Nd 0.0000 0.6970 0.3030
Nd 0.1455 0.6297 0.6297
Nd 0.3030 0.0000 0.6970
Nd 0.3030 0.6970 0.0000
Nd 0.3703 0.3703 0.8545
Nd 0.3703 0.8545 0.3703
Nd 0.5000 0.0000 0.0000
Nd 0.6297 0.1455 0.6297
Nd 0.6297 0.6297 0.1455
Nd 0.6970 0.0000 0.3030
Nd 0.6970 0.3030 0.0000
Nd 0.8545 0.3703 0.3703
Mg 0.3051 0.3051 0.3051
Mg 0.6949 0.6949 0.6949

=====

Entry 4:
Density functional theory data (GGA-PBE) for Pm6NdMg after structural relaxation.

raw total energy: -69.5 eV for the cell shown
E_form: 0.012 eV per atom

Unit cell a=5.0632 b=5.0632 c=20.6599 alpha=90.00 beta=90.00 gamma=90.00
Positions (direct):
Pm 0.0000 0.0000 0.2481
Pm 0.0000 0.0000 0.7519
Pm 0.0000 0.5000 0.1235
Pm 0.0000 0.5000 0.3765
Pm 0.0000 0.5000 0.6235
Pm 0.0000 0.5000 0.8765
Pm 0.5000 0.0000 0.1235
Pm 0.5000 0.0000 0.3765
Pm 0.5000 0.0000 0.6235
Pm 0.5000 0.0000 0.8765
Pm 0.5000 0.5000 0.2519
Pm 0.5000 0.5000 0.7481
Nd 0.0000 0.0000 0.0000
Nd 0.5000 0.5000 0.5000
Mg 0.0000 0.0000 0.5000
Mg 0.5000 0.5000 0.0000

=====

Entry 5:
Density functional theory data (GGA-PBE) for Pm2Nd12Mg after structural relaxation.

raw total energy: -128.2 eV for the cell shown
E_form: 0.281 eV per atom

Unit cell a=6.6978 b=6.6978 c=24.4745 alpha=90.00 beta=90.00 gamma=90.00
Positions (direct):
Pm 0.2500 0.7500 0.2456
Pm 0.2500 0.7500 0.7544
Pm 0.7500 0.2500 0.2456
Pm 0.7500 0.2500 0.7544
Nd 0.0125 0.5125 0.0989
Nd 0.0125 0.9875 0.9011
Nd 0.0833 0.5833 0.5640
Nd 0.0833 0.9167 0.4360
Nd 0.2500 0.2500 0.2031
Nd 0.2500 0.2500 0.3297
Nd 0.2500 0.2500 0.6703
Nd 0.2500 0.2500 0.7969
Nd 0.4167 0.5833 0.4360
Nd 0.4167 0.9167 0.5640
Nd 0.4875 0.5125 0.9011
Nd 0.4875 0.9875 0.0989
Nd 0.5125 0.0125 0.9011
Nd 0.5125 0.4875 0.0989
Nd 0.5833 0.0833 0.4360
Nd 0.5833 0.4167 0.5640
Nd 0.7500 0.7500 0.2031
Nd 0.7500 0.7500 0.3297
Nd 0.7500 0.7500 0.6703
Nd 0.7500 0.7500 0.7969
Nd 0.9167 0.0833 0.5640
Nd 0.9167 0.4167 0.4360
Nd 0.9875 0.0125 0.0989
Nd 0.9875 0.4875 0.9011
Mg 0.2500 0.7500 0.0000
Mg 0.7500 0.2500 0.0000

=====

Entry 6:
Density functional theory data (GGA-PBE) for Pm7Nd12Mg after structural relaxation.

raw total energy: -79.9 eV for the cell shown
energy relative to the lowest polymorph listed for this composition: 424 meV/atom
E_form: 0.609 eV per atom

Unit cell a=10.0800 b=10.0800 c=10.0800 alpha=109.47 beta=109.47 gamma=109.47
Positions (direct):
Pm 0.0000 0.0000 0.5000
Pm 0.0000 0.5000 0.0000
Pm 0.0000 0.5000 0.5000
Pm 0.5000 0.0000 0.0000
Pm 0.5000 0.0000 0.5000
Pm 0.5000 0.5000 0.0000
Pm 0.5000 0.5000 0.5000
Nd 0.0007 0.7545 0.2463
Nd 0.2463 0.0007 0.7545
Nd 0.2455 0.2463 0.4918
Nd 0.2463 0.4918 0.2455
Nd 0.2455 0.7537 0.9993
Nd 0.4918 0.2455 0.2463
Nd 0.5082 0.7545 0.7537
Nd 0.7545 0.2463 0.0007
Nd 0.7537 0.5082 0.7545
Nd 0.7545 0.7537 0.5082
Nd 0.7537 0.9993 0.2455
Nd 0.9993 0.2455 0.7537
Mg 0.0000 0.0000 0.0000

=====

Entry 7:
Density functional theory data (GGA-PBE) for Pm2Nd3Mg3 after structural relaxation.

raw total energy: -58.3 eV for the cell shown
E_form: -0.070 eV per atom

Unit cell a=3.8810 b=5.5736 c=22.8329 alpha=90.00 beta=90.00 gamma=90.00
Positions (direct):
Pm 0.0000 0.0000 0.2353
Pm 0.0000 0.0000 0.7647
Pm 0.5000 0.5000 0.2647
Pm 0.5000 0.5000 0.7353
Nd 0.0000 0.0000 0.0000
Nd 0.0000 0.5000 0.1232
Nd 0.0000 0.5000 0.8768
Nd 0.5000 0.0000 0.3768
Nd 0.5000 0.0000 0.6232
Nd 0.5000 0.5000 0.5000
Mg 0.0000 0.0000 0.5000
Mg 0.0000 0.5000 0.3827
Mg 0.0000 0.5000 0.6173
Mg 0.5000 0.0000 0.1173
Mg 0.5000 0.0000 0.8827
Mg 0.5000 0.5000 0.0000

=====

Entry 8:
Density functional theory data (GGA-PBE) for Pm5Nd4Mg2 after structural relaxation.

raw total energy: -45.4 eV for the cell shown
energy relative to the lowest polymorph listed for this composition: 0 meV/atom
E_form: 0.052 eV per atom

Unit cell a=11.6058 b=11.6058 c=8.8979 alpha=93.33 beta=93.33 gamma=17.78
Positions (direct):
Pm 0.0000 0.0000 0.0000
Pm 0.3165 0.3165 0.5306
Pm 0.3707 0.3707 0.8988
Pm 0.6293 0.6293 0.1012
Pm 0.6835 0.6835 0.4694
Nd 0.2120 0.2120 0.8220
Nd 0.4286 0.4286 0.2875
Nd 0.5714 0.5714 0.7125
Nd 0.7880 0.7880 0.1780
Mg 0.0557 0.0557 0.3734
Mg 0.9443 0.9443 0.6266

=====

Entry 9:
Density functional theory data (GGA-PBE) for Pm4Nd3Mg after structural relaxation.

raw total energy: -68.5 eV for the cell shown
E_form: 0.079 eV per atom

Unit cell a=3.5642 b=11.7861 c=13.0040 alpha=90.00 beta=90.00 gamma=90.00
Positions (direct):
Pm 0.0000 0.2480 0.1328
Pm 0.0000 0.2480 0.8672
Pm 0.0000 0.7520 0.1328
Pm 0.0000 0.7520 0.8672
Pm 0.5000 0.2520 0.3672
Pm 0.5000 0.2520 0.6328
Pm 0.5000 0.7480 0.3672
Pm 0.5000 0.7480 0.6328
Nd 0.0000 0.0000 0.5000
Nd 0.0000 0.5000 0.2662
Nd 0.0000 0.5000 0.7338
Nd 0.5000 0.0000 0.2338
Nd 0.5000 0.0000 0.7662
Nd 0.5000 0.5000 0.0000
Mg 0.0000 0.0000 0.0000
Mg 0.5000 0.5000 0.5000

=====

Entry 10:
Density functional theory data (GGA-PBE) for PmNd4Mg after structural relaxation.

raw total energy: -25.6 eV for the cell shown
energy relative to the lowest polymorph listed for this composition: 0 meV/atom
E_form: -0.025 eV per atom

Unit cell a=3.6934 b=3.6934 c=14.6368 alpha=90.00 beta=90.00 gamma=90.00
Positions (direct):
Pm 0.0000 0.0000 0.0000
Nd 0.0000 0.0000 0.3509
Nd 0.0000 0.0000 0.6491
Nd 0.5000 0.5000 0.1767
Nd 0.5000 0.5000 0.8233
Mg 0.5000 0.5000 0.5000

=====

Entry 11:
Density functional theory data (GGA-PBE) for PmNd4Mg after structural relaxation.

raw total energy: -50.7 eV for the cell shown
energy relative to the lowest polymorph listed for this composition: 34 meV/atom
E_form: 0.009 eV per atom

Unit cell a=8.0412 b=8.0412 c=10.2433 alpha=90.00 beta=90.00 gamma=143.20
Positions (direct):
Pm 0.1681 0.8319 0.5000
Pm 0.8319 0.1681 0.0000
Nd 0.0012 0.9988 0.2481
Nd 0.1688 0.8312 0.9963
Nd 0.3317 0.6683 0.2482
Nd 0.4995 0.5005 0.9980
Nd 0.5005 0.4995 0.4980
Nd 0.6683 0.3317 0.7482
Nd 0.8312 0.1688 0.4963
Nd 0.9988 0.0012 0.7481
Mg 0.3339 0.6661 0.7483
Mg 0.6661 0.3339 0.2483

=====

Entry 12:
Density functional theory data (GGA-PBE) for PmNd3Mg3 after structural relaxation.

raw total energy: -46.6 eV for the cell shown
E_form: 0.076 eV per atom

Unit cell a=6.5467 b=6.5467 c=10.8999 alpha=90.88 beta=90.88 gamma=111.27
Positions (direct):
Pm 0.2105 0.2105 0.4902
Pm 0.7895 0.7895 0.5098
Nd 0.0337 0.0337 0.8343
Nd 0.2729 0.7271 0.5000
Nd 0.3258 0.6742 0.0000
Nd 0.6742 0.3258 0.0000
Nd 0.7271 0.2729 0.5000
Nd 0.9663 0.9663 0.1657
Mg 0.9999 0.4838 0.2505
Mg 0.0001 0.5162 0.7495
Mg 0.4838 0.9999 0.2505
Mg 0.5000 0.5000 0.2594
Mg 0.5000 0.5000 0.7406
Mg 0.5162 0.0001 0.7495